(1)
A plane-wave DFT calculation with PBE was carried out for a geometry-optimized Ac structure.

Cell: 7.095 7.095 7.095 Å, 90.00 90.00 90.00°
Fractional positions:
Ac 0.000 0.000 0.000
Ac 0.500 0.250 0.000
Ac 0.500 0.750 0.000
Ac 0.000 0.500 0.250
Ac 0.250 0.000 0.500
Ac 0.750 0.000 0.500
Ac 0.500 0.500 0.500
Ac 0.000 0.500 0.750

**Distance to the lowest polymorph of the same formula**: 183 meV/atom
**DFT formation energy**: 0.1829 eV per atom
**DFT total energy**: -3.9 eV/f.u.



(2)
A plane-wave DFT calculation with PBE was carried out for a geometry-optimized Cd2SeO structure.

Cell: 6.052 3.832 14.161 Å, 90.00 90.00 90.00°
Fractional positions:
Cd 0.213 0.750 0.086
Cd 0.642 0.250 0.189
Cd 0.142 0.250 0.311
Cd 0.713 0.750 0.414
Cd 0.287 0.250 0.586
Cd 0.858 0.750 0.689
Cd 0.358 0.750 0.811
Cd 0.787 0.250 0.914
O 0.278 0.250 0.170
O 0.778 0.250 0.330
O 0.222 0.750 0.670
O 0.722 0.750 0.830
Se 0.762 0.750 0.069
Se 0.262 0.750 0.431
Se 0.738 0.250 0.569
Se 0.238 0.250 0.931

**Distance to the lowest polymorph of the same formula**: 7 meV/atom
**DFT total energy**: -13.2 eV/f.u.



(3)
A plane-wave DFT calculation with PBE was carried out for a geometry-optimized Li2PdAu structure.

Cell: 5.741 6.777 5.841 Å, 90.00 90.00 90.00°
Fractional positions:
Au 0.250 0.250 0.000
Au 0.750 0.750 0.500
Au 0.250 0.250 0.500
Au 0.750 0.750 0.000
Li 0.500 0.000 0.250
Li 0.500 0.500 0.250
Li 0.000 0.000 0.250
Li 0.000 0.500 0.250
Li 0.000 0.000 0.750
Li 0.000 0.500 0.750
Li 0.500 0.000 0.750
Li 0.500 0.500 0.750
Pd 0.750 0.250 0.000
Pd 0.250 0.750 0.000
Pd 0.250 0.750 0.500
Pd 0.750 0.250 0.500

**Distance to the lowest polymorph of the same formula**: 17 meV/atom
**DFT total energy**: -14.3 eV/f.u.



(4)
A plane-wave DFT calculation with PBE was carried out for a geometry-optimized YHoIn2Ni4 structure.

Cell: 4.393 4.393 8.477 Å, 90.00 90.00 120.00°
Fractional positions:
Ho 0.000 0.000 0.500
In 0.667 0.333 0.251
In 0.667 0.333 0.749
Ni 0.000 0.000 0.167
Ni 0.333 0.667 0.338
Ni 0.333 0.667 0.662
Ni 0.000 0.000 0.833
Y 0.333 0.667 0.000

**Distance to the lowest polymorph of the same formula**: 51 meV/atom
**DFT total energy**: -42.1 eV/f.u.



(5)
A plane-wave DFT calculation with PBE was carried out for a geometry-optimized GdDy2S3 structure.

Cell: 3.911 3.911 9.602 Å, 90.00 90.00 120.00°
Fractional positions:
Dy 0.333 0.667 0.167
Dy 0.667 0.333 0.833
Gd 0.000 0.000 0.500
S 0.000 0.000 0.000
S 0.667 0.333 0.330
S 0.333 0.667 0.670

**DFT total energy**: -38.3 eV/f.u.



(6)
A plane-wave DFT calculation with PBE was carried out for a geometry-optimized YCdSn2 structure.

Cell: 5.312 5.312 5.312 Å, 60.00 60.00 60.00°
Fractional positions:
Cd 0.750 0.750 0.750
Sn 0.250 0.250 0.250
Sn 0.500 0.500 0.500
Y 0.000 0.000 0.000

**DFT total energy**: -16.1 eV/f.u.



(7)
A plane-wave DFT calculation with PBE was carried out for a geometry-optimized Sm3Mg3AlAu2 structure.

Cell: 7.578 7.578 4.369 Å, 90.00 90.00 120.00°
Fractional positions:
Al 0.000 0.000 0.000
Au 0.667 0.333 0.500
Au 0.333 0.667 0.500
Mg 0.244 0.000 0.500
Mg 0.000 0.244 0.500
Mg 0.756 0.756 0.500
Sm 0.581 0.000 0.000
Sm 0.419 0.419 0.000
Sm 0.000 0.581 0.000

**DFT total energy**: -33.7 eV/f.u.



(8)
A plane-wave DFT calculation with PBE was carried out for a geometry-optimized LuTlCoS3 structure.

Cell: 8.812 3.804 9.071 Å, 90.00 109.27 90.00°
Last column: magnetic moment on the atom in μB.
Fractional positions:
Co 0.421 0.750 0.412  1.07
Co 0.579 0.250 0.588  1.07
Lu 0.170 0.250 0.143  0.01
Lu 0.830 0.750 0.857  0.01
S 0.383 0.750 0.149  0.06
S 0.965 0.750 0.163  0.01
S 0.321 0.250 0.466  0.09
S 0.679 0.750 0.534  0.09
S 0.035 0.250 0.837  0.01
S 0.617 0.250 0.851  0.06
Tl 0.703 0.250 0.219  0.01
Tl 0.297 0.750 0.781  0.01

**Distance to the lowest polymorph of the same formula**: 0 meV/atom
**DFT total energy**: -32.6 eV/f.u.



> Among the records above, which one has the highest DFT total energy?

Ac



> Which formula does entry 1 have?

Ac



> Number 1 is which compound?

Ac